No. 1
VASP calculation (PBE) on crystalline Si2NiTe at its relaxed geometry.

Output
uncorrected energy: -4.728 eV per atom
space-group type: No. 123
E_form (uncorrected): 0.2147 eV per atom

Cell lengths 2.878, 2.879, 8.781 Å; angles 90.00, 90.00, 90.00 degrees
Fractional positions:
Si: 0.000 0.000 0.913
Si: 0.000 0.000 0.587
Ni: 0.500 0.500 0.750
Te: 0.500 0.500 0.250


No. 2
VASP calculation (PBE) on crystalline Si2NiTe at its relaxed geometry.

Output
uncorrected energy: -4.857 eV per atom
space-group type: No. 166
E_form (uncorrected): 0.0848 eV per atom

Cell lengths 6.118, 6.118, 6.118 Å; angles 35.74, 35.74, 35.74 degrees
Fractional positions:
Ni: 0.750 0.750 0.750
Si: 0.468 0.468 0.468
Si: 0.032 0.032 0.032
Te: 0.250 0.250 0.250


No. 3
VASP calculation (PBE) on crystalline Si4NiTe at its relaxed geometry.

Output
uncorrected energy: -4.430 eV per atom
space-group type: No. 216
E_form (uncorrected): 0.6730 eV per atom

Cell lengths 5.199, 5.199, 5.199 Å; angles 60.00, 60.00, 60.00 degrees
Fractional positions:
Si: 0.374 0.879 0.374
Si: 0.374 0.374 0.374
Si: 0.879 0.374 0.374
Si: 0.374 0.374 0.879
Ni: 0.000 0.000 0.000
Te: 0.750 0.750 0.750


No. 4
VASP calculation (PBE) on crystalline Si2Ni2Te at its relaxed geometry.

Output
uncorrected energy: -5.248 eV per atom
space-group type: No. 139
E_form (uncorrected): -0.1381 eV per atom
relative energy among the computed polymorphs: 0 kJ/mol of formula units

Cell lengths 3.658, 3.658, 6.194 Å; angles 72.82, 72.82, 90.00 degrees
Fractional positions:
Ni: 0.380 0.380 0.241
Ni: 0.620 0.620 0.759
Te: 0.000 0.000 0.000
Si: 0.750 0.250 0.500
Si: 0.250 0.750 0.500


No. 5
VASP calculation (PBE) on crystalline Si2NiTe at its relaxed geometry.

Output
uncorrected energy: -4.778 eV per atom
space-group type: No. 122
E_form (uncorrected): 0.1643 eV per atom

Cell lengths 5.657, 5.657, 6.843 Å; angles 65.59, 65.59, 90.00 degrees
Fractional positions:
Te: 0.000 0.000 0.000
Te: 0.750 0.250 0.500
Si: 0.205 0.625 0.250
Si: 0.375 0.455 0.750
Si: 0.545 0.125 0.250
Si: 0.875 0.795 0.750
Ni: 0.500 0.500 0.000
Ni: 0.250 0.750 0.500


No. 6
VASP calculation (PBE) on crystalline Si2NiTe2 at its relaxed geometry.

Output
uncorrected energy: -4.070 eV per atom
space-group type: No. 127
E_form (uncorrected): 0.5118 eV per atom
relative energy among the computed polymorphs: 68 kJ/mol of formula units

Cell lengths 7.312, 7.312, 4.097 Å; angles 90.00, 90.00, 90.00 degrees
Fractional positions:
Si: 0.618 0.882 0.500
Si: 0.882 0.382 0.500
Si: 0.382 0.118 0.500
Si: 0.118 0.618 0.500
Ni: 0.500 0.500 0.000
Ni: 0.000 0.000 0.000
Te: 0.803 0.697 0.000
Te: 0.197 0.303 0.000
Te: 0.303 0.803 0.000
Te: 0.697 0.197 0.000


No. 7
VASP calculation (PBE) on crystalline SiNiTe3 at its relaxed geometry.

Output
uncorrected energy: -3.216 eV per atom
space-group type: No. 221
E_form (uncorrected): 0.9099 eV per atom
relative energy among the computed polymorphs: 181 kJ/mol of formula units

Cell lengths 5.219, 5.219, 5.219 Å; angles 90.00, 90.00, 90.00 degrees
Site moments in Bohr magnetons follow the coordinates.
Fractional positions:
Te: 0.500 0.000 0.000  0.12
Te: 0.000 0.500 0.000  0.12
Te: 0.000 0.000 0.500  0.12
Ni: 0.500 0.500 0.500  0.99
Si: 0.000 0.000 0.000  0.00


No. 8
VASP calculation (PBE) on crystalline SiNiTe2W at its relaxed geometry.

Output
uncorrected energy: -4.548 eV per atom
space-group type: No. 123
E_form (uncorrected): 1.5403 eV per atom

Cell lengths 5.153, 5.153, 4.596 Å; angles 90.00, 90.00, 90.00 degrees
Site moments in Bohr magnetons follow the coordinates.
Fractional positions:
Ni: 0.500 0.500 0.500  0.47
Te: 0.500 0.000 0.000  0.04
Te: 0.000 0.500 0.000  0.04
Si: 0.000 0.000 0.000  0.01
W: 0.000 0.000 0.500  -0.49


No. 9
VASP calculation (PBE) on crystalline Th2Si3Ni5 at its relaxed geometry.

Output
uncorrected energy: -6.725 eV per atom
space-group type: No. 72
E_form (uncorrected): -0.7237 eV per atom

Cell lengths 5.853, 7.962, 7.962 Å; angles 73.17, 68.44, 68.44 degrees
Fractional positions:
Th: 0.628 0.125 0.618
Th: 0.128 0.618 0.125
Th: 0.872 0.382 0.875
Th: 0.372 0.875 0.382
Si: 0.250 0.000 0.000
Si: 0.378 0.498 0.746
Si: 0.622 0.502 0.254
Si: 0.122 0.254 0.502
Si: 0.750 0.000 0.000
Si: 0.878 0.746 0.498
Ni: 0.508 0.742 0.742
Ni: 0.616 0.753 0.015
Ni: 0.992 0.258 0.258
Ni: 0.884 0.985 0.247
Ni: 0.116 0.015 0.753
Ni: 0.750 0.500 0.500
Ni: 0.250 0.500 0.500
Ni: 0.492 0.258 0.258
Ni: 0.384 0.247 0.985
Ni: 0.008 0.742 0.742


No. 10
VASP calculation (PBE) on crystalline ThSi3Ni3 at its relaxed geometry.

Output
uncorrected energy: -6.222 eV per atom
space-group type: No. 223
E_form (uncorrected): -0.3606 eV per atom
relative energy among the computed polymorphs: 0 kJ/mol of formula units

Cell lengths 6.203, 6.203, 6.203 Å; angles 90.00, 90.00, 90.00 degrees
Fractional positions:
Si: 0.250 0.500 0.000
Si: 0.500 0.000 0.750
Si: 0.500 0.000 0.250
Si: 0.000 0.250 0.500
Si: 0.750 0.500 0.000
Si: 0.000 0.750 0.500
Ni: 0.250 0.000 0.500
Ni: 0.000 0.500 0.250
Ni: 0.500 0.750 0.000
Ni: 0.750 0.000 0.500
Ni: 0.500 0.250 0.000
Ni: 0.000 0.500 0.750
Th: 0.500 0.500 0.500
Th: 0.000 0.000 0.000


No. 11
VASP calculation (PBE) on crystalline ThSiNi2 at its relaxed geometry.

Output
uncorrected energy: -6.812 eV per atom
space-group type: No. 12
E_form (uncorrected): -0.7102 eV per atom

Cell lengths 4.003, 4.000, 5.369 Å; angles 68.01, 68.11, 59.98 degrees
Fractional positions:
Si: 0.000 0.500 0.500
Th: 0.500 0.000 0.000
Ni: 0.295 0.795 0.615
Ni: 0.705 0.205 0.385


No. 12
VASP calculation (PBE) on crystalline ThSi4Ni4 at its relaxed geometry.

Output
uncorrected energy: -6.437 eV per atom
space-group type: No. 137
E_form (uncorrected): -0.6333 eV per atom

Cell lengths 5.664, 5.664, 7.901 Å; angles 90.00, 90.00, 90.00 degrees
Fractional positions:
Si: 0.000 0.276 0.612
Si: 0.000 0.724 0.612
Si: 0.500 0.224 0.888
Si: 0.224 0.500 0.112
Si: 0.276 0.000 0.388
Si: 0.724 0.000 0.388
Si: 0.500 0.776 0.888
Si: 0.776 0.500 0.112
Ni: 0.500 0.216 0.183
Ni: 0.216 0.500 0.817
Ni: 0.784 0.500 0.817
Ni: 0.284 0.000 0.683
Ni: 0.500 0.784 0.183
Ni: 0.000 0.284 0.317
Ni: 0.716 0.000 0.683
Ni: 0.000 0.716 0.317
Th: 0.000 0.000 0.000
Th: 0.500 0.500 0.500


No. 13
VASP calculation (PBE) on crystalline Th2SiNi3 at its relaxed geometry.

Output
uncorrected energy: -6.866 eV per atom
space-group type: No. 69
E_form (uncorrected): -0.5979 eV per atom

Cell lengths 5.664, 5.664, 8.232 Å; angles 111.63, 111.63, 85.92 degrees
Fractional positions:
Si: 0.666 0.666 0.332
Si: 0.334 0.334 0.668
Th: 0.242 0.758 0.000
Th: 0.250 0.750 0.500
Th: 0.758 0.242 0.000
Th: 0.750 0.250 0.500
Ni: 0.830 0.830 0.660
Ni: 0.343 0.343 0.171
Ni: 0.828 0.828 0.171
Ni: 0.170 0.170 0.340
Ni: 0.657 0.657 0.829
Ni: 0.172 0.172 0.829


No. 14
VASP calculation (PBE) on crystalline ThSi6Ni12 at its relaxed geometry.

Output
uncorrected energy: -6.266 eV per atom
space-group type: No. 166
E_form (uncorrected): -0.5120 eV per atom

Cell lengths 6.541, 6.541, 6.541 Å; angles 105.24, 105.24, 105.24 degrees
Fractional positions:
Si: 0.747 0.303 0.747
Si: 0.697 0.253 0.253
Si: 0.747 0.747 0.303
Si: 0.253 0.253 0.697
Si: 0.303 0.747 0.747
Si: 0.253 0.697 0.253
Ni: 0.878 0.122 0.500
Ni: 0.163 0.427 0.427
Ni: 0.573 0.573 0.837
Ni: 0.427 0.427 0.163
Ni: 0.500 0.878 0.122
Ni: 0.573 0.837 0.573
Ni: 0.122 0.878 0.500
Ni: 0.878 0.500 0.122
Ni: 0.427 0.163 0.427
Ni: 0.500 0.122 0.878
Ni: 0.122 0.500 0.878
Ni: 0.837 0.573 0.573
Th: 0.000 0.000 0.000


No. 15
VASP calculation (PBE) on crystalline Th3Si4Ni2 at its relaxed geometry.

Output
uncorrected energy: -6.931 eV per atom
space-group type: No. 12
E_form (uncorrected): -0.7623 eV per atom
relative energy among the computed polymorphs: 93 kJ/mol of formula units

Cell lengths 4.112, 5.821, 8.328 Å; angles 108.58, 90.00, 110.69 degrees
Fractional positions:
Th: 0.615 0.230 0.684
Th: 0.000 0.000 0.000
Th: 0.385 0.770 0.316
Si: 0.276 0.552 0.934
Si: 0.724 0.448 0.066
Si: 0.871 0.742 0.590
Si: 0.129 0.258 0.410
Ni: 0.676 0.352 0.318
Ni: 0.324 0.648 0.682


No. 16
VASP calculation (PBE) on crystalline Th2Si5Ni3 at its relaxed geometry.

Output
uncorrected energy: -6.709 eV per atom
space-group type: No. 15
E_form (uncorrected): -0.7787 eV per atom

Cell lengths 5.850, 8.037, 8.037 Å; angles 91.83, 68.84, 68.84 degrees
Fractional positions:
Th: 0.739 0.131 0.386
Th: 0.761 0.614 0.869
Th: 0.261 0.869 0.614
Th: 0.239 0.386 0.131
Ni: 0.117 0.254 0.517
Ni: 0.883 0.746 0.483
Ni: 0.617 0.517 0.254
Ni: 0.383 0.483 0.746
Ni: 0.750 0.992 0.008
Ni: 0.250 0.008 0.992
Si: 0.852 0.253 0.028
Si: 0.648 0.972 0.747
Si: 0.148 0.747 0.972
Si: 0.750 0.498 0.502
Si: 0.250 0.502 0.498
Si: 0.352 0.028 0.253
Si: 0.250 0.755 0.245
Si: 0.750 0.245 0.755
Si: 0.250 0.239 0.761
Si: 0.750 0.761 0.239


No. 17
VASP calculation (PBE) on crystalline Th3Si4Ni2 at its relaxed geometry.

Output
uncorrected energy: -7.038 eV per atom
space-group type: No. 12
E_form (uncorrected): -0.8693 eV per atom
relative energy among the computed polymorphs: 0 kJ/mol of formula units

Cell lengths 4.086, 5.825, 8.117 Å; angles 98.67, 90.00, 110.53 degrees
Fractional positions:
Th: 0.337 0.674 0.336
Th: 0.663 0.326 0.664
Th: 0.000 0.000 0.000
Si: 0.059 0.118 0.385
Si: 0.941 0.882 0.615
Si: 0.719 0.439 0.065
Si: 0.281 0.561 0.935
Ni: 0.609 0.217 0.281
Ni: 0.391 0.783 0.719


No. 18
VASP calculation (PBE) on crystalline ThSi2Ni at its relaxed geometry.

Output
uncorrected energy: -6.867 eV per atom
space-group type: No. 11
E_form (uncorrected): -0.8550 eV per atom

Cell lengths 4.153, 4.111, 8.447 Å; angles 90.00, 104.23, 90.00 degrees
Fractional positions:
Ni: 0.319 0.750 0.639
Ni: 0.681 0.250 0.361
Si: 0.751 0.750 0.502
Si: 0.249 0.250 0.498
Si: 0.540 0.250 0.078
Si: 0.460 0.750 0.922
Th: 0.105 0.750 0.211
Th: 0.895 0.250 0.789


No. 19
VASP calculation (PBE) on crystalline ThSi2Ni3 at its relaxed geometry.

Output
uncorrected energy: -6.683 eV per atom
space-group type: No. 12
E_form (uncorrected): -0.7480 eV per atom

Cell lengths 3.899, 7.993, 9.400 Å; angles 107.32, 90.00, 104.12 degrees
Fractional positions:
Si: 0.640 0.279 0.444
Si: 0.799 0.597 0.874
Si: 0.525 0.051 0.766
Si: 0.360 0.721 0.556
Si: 0.475 0.949 0.234
Si: 0.201 0.403 0.126
Th: 0.845 0.690 0.303
Th: 0.000 0.000 0.000
Th: 0.155 0.310 0.697
Ni: 0.783 0.566 0.609
Ni: 0.951 0.903 0.657
Ni: 0.627 0.254 0.197
Ni: 0.049 0.097 0.343
Ni: 0.217 0.434 0.391
Ni: 0.675 0.351 0.966
Ni: 0.325 0.649 0.034
Ni: 0.500 0.000 0.500
Ni: 0.373 0.746 0.803


No. 20
VASP calculation (PBE) on crystalline ThSi3Ni3 at its relaxed geometry.

Output
uncorrected energy: -6.176 eV per atom
space-group type: No. 148
E_form (uncorrected): -0.3139 eV per atom
relative energy among the computed polymorphs: 32 kJ/mol of formula units

Cell lengths 6.208, 6.208, 7.642 Å; angles 66.03, 66.03, 60.00 degrees
Fractional positions:
Ni: 0.155 0.676 0.279
Ni: 0.324 0.110 0.721
Ni: 0.110 0.845 0.721
Ni: 0.676 0.890 0.279
Ni: 0.890 0.155 0.279
Ni: 0.845 0.324 0.721
Si: 0.550 0.728 0.626
Si: 0.904 0.450 0.374
Si: 0.728 0.096 0.626
Si: 0.272 0.904 0.374
Si: 0.450 0.272 0.374
Si: 0.096 0.550 0.626
Th: 0.339 0.339 0.984
Th: 0.661 0.661 0.016